{"formula": "ZrMnGe2", "functional": "PBE", "state": "relaxed", "lattice_angstrom": [[-3.6497, -0.4718, -1.5988], [-2.1693, -3.2589, 0.8790], [-3.9346, 1.1243, 3.6153]], "species": ["Ge", "Ge", "Mn", "Zr"], "frac_coords": [[0.7681, 0.7681, 0.6958], [0.2319, 0.2319, 0.3042], [0.5000, 0.5000, 0.5000], [0.0000, 0.0000, 0.0000]], "delta_e_f_ev_per_atom": -0.35, "crystal_system": "trigonal", "e_tot_ev_per_atom": -7.08}